The following is a DFT calculation (PBE) of a relaxed structure of Mg2ZrI.

Output
VASP energy = -2.754 eV/atom
magnetization = 2.114 μB per formula unit
formation energy (no corrections) = 0.5678 eV per atom

abc: 5.3019 5.3019 5.3019
angles: 60.00 60.00 60.00
Closest atoms and distances in Å follow each position.
Sites, in units of the cell vectors:
Mg 0.2500 0.2500 0.2500  4 Zr 3.25, 4 I 3.25
Mg 0.7500 0.7500 0.7500  4 Zr 3.25, 4 I 3.25
Zr 0.0000 0.0000 0.0000  8 Mg 3.25
I 0.5000 0.5000 0.5000  8 Mg 3.25

=====

The following is a DFT calculation (PBE) of a relaxed structure of Er8Ge3BiTe4.

Output
VASP energy = -5.312 eV/atom
magnetization = 0.000 μB per formula unit
formation energy (no corrections) = -1.1369 eV per atom

abc: 8.5988 8.5988 8.5988
angles: 59.47 59.47 59.47
Closest atoms and distances in Å follow each position.
Sites, in units of the cell vectors:
Er 0.2261 0.7491 0.7491  2 Ge 2.88, 1 Bi 3.02, 3 Te 3.05-3.18
Er 0.2395 0.2395 0.2395  3 Ge 2.90, 3 Te 3.16
Er 0.2509 0.2509 0.7739  2 Ge 2.88, 1 Bi 3.02, 3 Te 3.05-3.18
Er 0.2509 0.7739 0.2509  2 Ge 2.88, 1 Bi 3.02, 3 Te 3.05-3.18
Er 0.7491 0.2261 0.7491  2 Ge 2.88, 1 Bi 3.02, 3 Te 3.05-3.18
Er 0.7491 0.7491 0.2261  2 Ge 2.88, 1 Bi 3.02, 3 Te 3.05-3.18
Er 0.7605 0.7605 0.7605  3 Ge 2.90, 3 Te 3.16
Er 0.7739 0.2509 0.2509  2 Ge 2.88, 1 Bi 3.02, 3 Te 3.05-3.18
Ge 0.0000 0.0000 0.5000  6 Er 2.88-2.90
Ge 0.0000 0.5000 0.0000  6 Er 2.88-2.90
Ge 0.5000 0.0000 0.0000  6 Er 2.88-2.90
Bi 0.5000 0.5000 0.5000  6 Er 3.02
Te 0.0000 0.0000 0.0000  6 Er 3.05
Te 0.0000 0.5000 0.5000  6 Er 3.16-3.18
Te 0.5000 0.0000 0.5000  6 Er 3.16-3.18
Te 0.5000 0.5000 0.0000  6 Er 3.16-3.18

=====

The following is a DFT calculation (PBE) of a relaxed structure of LiSm2Ga6Co.

Output
VASP energy = -3.952 eV/atom
magnetization = 0.000 μB per formula unit

abc: 6.4626 6.4626 6.4626
angles: 120.15 119.94 89.92
Closest atoms and distances in Å follow each position.
Sites, in units of the cell vectors:
Li 0.0000 0.0000 0.0000  6 Ga 2.26
Sm 0.2499 0.7499 0.5000  12 Ga 3.22-3.23
Sm 0.7501 0.2501 0.5000  12 Ga 3.22-3.23
Ga 0.2472 0.2472 0.0000  1 Li 2.26, 1 Co 2.31
Ga 0.2474 0.2469 0.4943  1 Li 2.26, 1 Co 2.31
Ga 0.2474 0.7531 0.0004  1 Li 2.26, 1 Co 2.31
Ga 0.7526 0.2469 0.9996  1 Li 2.26, 1 Co 2.31
Ga 0.7528 0.7528 0.0000  1 Li 2.26, 1 Co 2.31
Ga 0.7526 0.7531 0.5057  1 Li 2.26, 1 Co 2.31
Co 0.5000 0.5000 0.0000  6 Ga 2.31